Below is a geometry-optimized ZrHgP2O structure, with properties calculated at the PBE level.

The spin magnetization is 0.00 μB per formula unit. The excess energy over the best structure of this formula in the dataset comes out at 0.0000 eV/atom. The calculation puts the uncorrected formation energy at -0.37 eV/atom. As for the symmetry: No. 123.

abc: 5.248 5.248 3.998
angles: 90.00 90.00 90.00
Fractional positions:
1 Zr 0.000 0.000 0.000
2 O 0.000 0.000 0.500
3 P 0.000 0.500 0.000
4 P 0.500 0.000 0.000
5 Hg 0.500 0.500 0.500

Below is a geometry-optimized ZrHgPO2 structure, with properties calculated at the PBE level.

The spin magnetization is 0.00 μB per formula unit. The excess energy over the best structure of this formula in the dataset comes out at 1.4121 eV/atom. The calculation puts the uncorrected formation energy at 0.13 eV/atom. As for the symmetry: No. 123.

abc: 4.132 4.132 4.990
angles: 90.00 90.00 90.00
Fractional positions:
1 O 0.500 0.000 0.000
2 O 0.000 0.500 0.000
3 Zr 0.500 0.500 0.500
4 Hg 0.000 0.000 0.000
5 P 0.000 0.000 0.500

Below is a geometry-optimized Pa2HgO structure, with properties calculated at the PBE level.

The spin magnetization is 0.00 μB per formula unit. The calculation puts the uncorrected formation energy at -1.12 eV/atom. As for the symmetry: No. 166.

abc: 3.242 3.242 8.957
angles: 79.57 79.57 60.00
Fractional positions:
1 Hg 0.500 0.500 0.500
2 Pa 0.271 0.271 0.186
3 Pa 0.729 0.729 0.814
4 O 0.000 0.000 0.000

Below is a geometry-optimized PaHg2O6 structure, with properties calculated at the PBE level.

The spin magnetization is 1.03 μB per formula unit. The calculation puts the uncorrected formation energy at -1.38 eV/atom. As for the symmetry: No. 2.

abc: 6.151 9.039 7.202
angles: 94.16 81.97 78.92
Fractional positions:
1 O 0.496 0.432 0.502
2 O 0.531 0.015 0.170
3 O 0.504 0.568 0.498
4 O 0.040 0.527 0.586
5 O 0.999 0.125 0.122
6 O 0.960 0.473 0.414
7 O 0.156 0.829 0.309
8 O 0.469 0.985 0.830
9 O 0.844 0.171 0.691
10 O 0.491 0.681 0.982
11 O 0.509 0.319 0.018
12 O 0.001 0.875 0.878
13 Pa 0.711 0.100 0.945
14 Pa 0.289 0.900 0.055
15 Hg 0.236 0.405 0.207
16 Hg 0.908 0.164 0.409
17 Hg 0.092 0.836 0.591
18 Hg 0.764 0.595 0.793

Below is a geometry-optimized Pa2HgO7 structure, with properties calculated at the PBE level.

The spin magnetization is 2.05 μB per formula unit. The calculation puts the uncorrected formation energy at -2.30 eV/atom. As for the symmetry: No. 156.

abc: 3.854 3.854 9.973
angles: 90.00 90.00 120.00
Fractional positions:
1 Pa 0.333 0.667 0.682
2 Pa 0.667 0.333 0.357
3 O 0.000 0.000 0.709
4 O 0.667 0.333 0.583
5 O 0.667 0.333 0.142
6 O 0.667 0.333 0.842
7 O 0.333 0.667 0.444
8 O 0.000 0.000 0.314
9 O 0.333 0.667 0.913
10 Hg 0.000 0.000 0.031

Below is a geometry-optimized Pa2Hg3O8 structure, with properties calculated at the PBE level.

The spin magnetization is 0.00 μB per formula unit. The calculation puts the uncorrected formation energy at -1.89 eV/atom. As for the symmetry: No. 12.

abc: 5.714 7.281 7.281
angles: 57.63 88.16 88.16
Fractional positions:
1 Hg 0.000 0.738 0.262
2 Hg 0.000 0.262 0.738
3 Hg 0.500 0.000 0.000
4 O 0.798 0.083 0.083
5 O 0.191 0.427 0.959
6 O 0.202 0.917 0.917
7 O 0.848 0.602 0.602
8 O 0.809 0.041 0.573
9 O 0.809 0.573 0.041
10 O 0.152 0.398 0.398
11 O 0.191 0.959 0.427
12 Pa 0.022 0.748 0.748
13 Pa 0.978 0.252 0.252

Below is a geometry-optimized Pa2Hg2O7 structure, with properties calculated at the PBE level.

The spin magnetization is 0.00 μB per formula unit. The calculation puts the uncorrected formation energy at -2.27 eV/atom. As for the symmetry: No. 227.

abc: 8.002 8.002 8.002
angles: 60.00 60.00 60.00
Fractional positions:
1 O 0.750 0.750 0.750
2 O 0.199 0.801 0.199
3 O 0.051 0.449 0.449
4 O 0.801 0.801 0.199
5 O 0.449 0.051 0.051
6 O 0.801 0.199 0.801
7 O 0.500 0.500 0.500
8 O 0.199 0.801 0.801
9 O 0.449 0.051 0.449
10 O 0.051 0.051 0.449
11 O 0.199 0.199 0.801
12 O 0.801 0.199 0.199
13 O 0.051 0.449 0.051
14 O 0.449 0.449 0.051
15 Hg 0.625 0.625 0.625
16 Hg 0.125 0.625 0.625
17 Hg 0.625 0.625 0.125
18 Hg 0.625 0.125 0.625
19 Pa 0.625 0.125 0.125
20 Pa 0.125 0.125 0.625
21 Pa 0.125 0.125 0.125
22 Pa 0.125 0.625 0.125

Below is a geometry-optimized PaHgO4 structure, with properties calculated at the PBE level.

The spin magnetization is 0.74 μB per formula unit. The calculation puts the uncorrected formation energy at -2.01 eV/atom. As for the symmetry: No. 12.

abc: 3.870 3.758 7.082
angles: 79.29 74.15 59.01
Fractional positions:
1 Hg 0.500 0.500 0.500
2 O 0.854 0.949 0.343
3 O 0.146 0.051 0.657
4 O 0.372 0.347 0.910
5 O 0.628 0.653 0.090
6 Pa 0.000 0.000 0.000

Below is a geometry-optimized Pa2HgO6 structure, with properties calculated at the PBE level.

The spin magnetization is 0.00 μB per formula unit. The calculation puts the uncorrected formation energy at -2.75 eV/atom. As for the symmetry: No. 12.

abc: 4.224 6.297 6.864
angles: 59.25 72.08 70.40
Fractional positions:
1 O 0.710 0.153 0.427
2 O 0.671 0.702 0.956
3 O 0.992 0.696 0.319
4 O 0.290 0.847 0.573
5 O 0.008 0.304 0.681
6 O 0.329 0.298 0.044
7 Pa 0.819 0.707 0.655
8 Pa 0.181 0.293 0.345
9 Hg 0.000 0.000 0.000

Below is a geometry-optimized Pa6Hg4O19 structure, with properties calculated at the PBE level.

The spin magnetization is 0.00 μB per formula unit. The calculation puts the uncorrected formation energy at -2.49 eV/atom. As for the symmetry: No. 197.

abc: 8.631 8.631 8.631
angles: 109.47 109.47 109.47
Fractional positions:
1 O 0.753 0.404 0.730
2 O 0.673 0.023 0.270
3 O 0.374 0.374 0.000
4 O 0.374 0.000 0.374
5 O 0.000 0.626 0.626
6 O 0.023 0.270 0.673
7 O 0.626 0.626 0.000
8 O 0.404 0.730 0.753
9 O 0.730 0.753 0.404
10 O 0.596 0.349 0.327
11 O 0.349 0.327 0.596
12 O 0.000 0.000 0.000
13 O 0.000 0.374 0.374
14 O 0.270 0.673 0.023
15 O 0.327 0.596 0.349
16 O 0.977 0.651 0.247
17 O 0.247 0.977 0.651
18 O 0.626 0.000 0.626
19 O 0.651 0.247 0.977
20 Hg 0.000 0.724 0.000
21 Hg 0.724 0.000 0.000
22 Hg 0.000 0.000 0.724
23 Hg 0.276 0.276 0.276
24 Pa 0.321 0.500 0.821
25 Pa 0.500 0.821 0.321
26 Pa 0.500 0.179 0.679
27 Pa 0.179 0.679 0.500
28 Pa 0.679 0.500 0.179
29 Pa 0.821 0.321 0.500

Below is a geometry-optimized PaHg2O4 structure, with properties calculated at the PBE level.

The spin magnetization is 0.00 μB per formula unit. The calculation puts the uncorrected formation energy at -1.74 eV/atom. As for the symmetry: No. 8.

abc: 7.605 7.606 7.605
angles: 126.11 118.79 85.93
Fractional positions:
1 Hg 0.631 0.384 0.246
2 Hg 0.569 0.865 0.295
3 Hg 0.138 0.385 0.754
4 Hg 0.567 0.269 0.702
5 Pa 0.138 0.139 0.000
6 Pa 0.130 0.630 0.500
7 O 0.017 0.261 0.244
8 O 0.017 0.775 0.758
9 O 0.928 0.201 0.725
10 O 0.476 0.201 0.273
11 O 0.250 0.516 0.266
12 O 0.365 0.570 0.797
13 O 0.773 0.570 0.205
14 O 0.250 0.984 0.734

Below is a geometry-optimized PaHgPbO6 structure, with properties calculated at the PBE level.

The spin magnetization is 0.92 μB per formula unit. The calculation puts the uncorrected formation energy at -1.57 eV/atom. As for the symmetry: No. 102.

abc: 5.131 5.131 10.522
angles: 90.00 90.00 90.00
Fractional positions:
1 O 0.201 0.799 0.491
2 O 0.299 0.299 0.991
3 O 0.700 0.700 0.345
4 O 0.200 0.800 0.845
5 O 0.800 0.200 0.845
6 O 0.687 0.687 0.665
7 O 0.187 0.813 0.165
8 O 0.313 0.313 0.665
9 O 0.799 0.201 0.491
10 O 0.701 0.701 0.991
11 O 0.813 0.187 0.165
12 O 0.300 0.300 0.345
13 Pa 0.500 0.500 0.498
14 Pa 0.000 0.000 0.998
15 Pb 0.000 0.000 0.334
16 Pb 0.500 0.500 0.834
17 Hg 0.000 0.000 0.666
18 Hg 0.500 0.500 0.166